1.
MgZr | PBE | optimized geometry

Cell lengths 5.4454, 6.5402, 5.0948 Å; angles 90.00, 90.00, 90.00 degrees
Sites, in units of the cell vectors:
Zr (0.3415, 0.0000, 0.5000)
Mg (0.9809, 0.5000, 0.0000)
Zr (0.8551, 0.2384, 0.5000)
Mg (0.3454, 0.5000, 0.5000)
Zr (0.9782, 0.0000, 0.0000)
Mg (0.4885, 0.2498, 0.0000)
Zr (0.8551, 0.7616, 0.5000)
Mg (0.4885, 0.7502, 0.0000)

Summary:
The value obtained for the total energy is -39.6 eV for the cell shown. Its magnetic moment is 0.01 μB/atom.


2.
MgZr | PBE | optimized geometry

Cell lengths 10.9328, 6.3614, 5.1523 Å; angles 90.00, 90.00, 90.00 degrees
Sites, in units of the cell vectors:
Zr (0.5020, 0.0000, 0.0000)
Zr (0.1647, 0.5000, 0.5000)
Mg (0.5022, 0.5000, 0.0000)
Mg (0.9939, 0.5000, 0.0000)
Mg (0.9181, 0.7501, 0.5000)
Zr (0.0051, 0.0000, 0.0000)
Mg (0.6727, 0.0000, 0.5000)
Zr (0.2488, 0.2465, 0.0000)
Zr (0.2488, 0.7535, 0.0000)
Mg (0.1645, 0.0000, 0.5000)
Zr (0.4179, 0.2535, 0.5000)
Zr (0.6616, 0.5000, 0.5000)
Mg (0.9181, 0.2499, 0.5000)
Mg (0.7486, 0.2501, 0.0000)
Zr (0.4179, 0.7465, 0.5000)
Mg (0.7486, 0.7499, 0.0000)

Summary:
The value obtained for the total energy is -80.1 eV for the cell shown. Its magnetic moment is 0.00 μB/atom.


3.
Mg2Zr | PBE | optimized geometry

Cell lengths 16.8175, 3.1358, 5.1158 Å; angles 90.00, 90.00, 90.00 degrees
Sites, in units of the cell vectors:
Mg (0.5049, 0.5000, 0.0000)
Zr (0.6718, 0.0000, 0.0000)
Mg (0.0049, 0.0000, 0.0000)
Mg (0.1093, 0.0000, 0.5000)
Zr (0.7729, 0.0000, 0.5000)
Mg (0.4396, 0.0000, 0.5000)
Mg (0.6094, 0.5000, 0.5000)
Mg (0.3350, 0.0000, 0.0000)
Mg (0.8351, 0.5000, 0.0000)
Zr (0.2727, 0.5000, 0.5000)
Zr (0.1716, 0.5000, 0.0000)
Mg (0.9396, 0.5000, 0.5000)

Summary:
The value obtained for the total energy is -46.0 eV for the cell shown. Its magnetic moment is 0.06 μB/atom.


4.
MgZr2 | PBE | optimized geometry

Cell lengths 16.7008, 3.1332, 5.2616 Å; angles 90.00, 90.00, 90.00 degrees
Sites, in units of the cell vectors:
Zr (0.1036, 0.0000, 0.5000)
Zr (0.8409, 0.5000, 0.0000)
Zr (0.9433, 0.5000, 0.5000)
Zr (0.3409, 0.0000, 0.0000)
Mg (0.7736, 0.0000, 0.5000)
Mg (0.6711, 0.0000, 0.0000)
Zr (0.5012, 0.5000, 0.0000)
Mg (0.1709, 0.5000, 0.0000)
Zr (0.4433, 0.0000, 0.5000)
Zr (0.6035, 0.5000, 0.5000)
Zr (0.0011, 0.0000, 0.0000)
Mg (0.2734, 0.5000, 0.5000)

Summary:
The value obtained for the total energy is -74.4 eV for the cell shown. Its magnetic moment is 0.01 μB/atom.


5.
MgZr | PBE | optimized geometry

Cell lengths 7.8454, 7.2141, 4.9556 Å; angles 90.00, 90.00, 103.41 degrees
Sites, in units of the cell vectors:
Zr (0.9800, 0.7706, 0.5000)
Zr (0.2422, 0.2850, 0.0000)
Mg (0.6039, 0.1649, 0.0000)
Mg (0.6406, 0.4225, 0.5000)
Mg (0.5816, 0.6330, 0.0000)
Zr (0.9697, 0.2200, 0.5000)
Zr (0.9630, 0.4939, 0.0000)
Zr (0.2525, 0.8356, 0.0000)
Mg (0.8949, 0.9664, 0.0000)
Mg (0.3273, 0.0892, 0.5000)
Zr (0.2591, 0.5616, 0.5000)
Mg (0.6183, 0.8907, 0.5000)

Summary:
The value obtained for the total energy is -60.2 eV for the cell shown. Its magnetic moment is 0.00 μB/atom.


6.
Mg3Zr4 | PBE | optimized geometry

Cell lengths 8.5338, 8.5358, 5.0221 Å; angles 90.00, 90.00, 60.01 degrees
Sites, in units of the cell vectors:
Mg (0.2395, 0.8086, 0.5000)
Mg (0.5233, 0.3823, 0.5000)
Mg (0.2866, 0.5719, 0.0000)
Mg (0.4291, 0.8558, 0.0000)
Zr (0.3772, 0.0935, 0.5000)
Zr (0.1429, 0.2857, 0.0000)
Zr (0.8095, 0.9524, 0.5000)
Zr (0.0017, 0.9945, 0.0000)
Mg (0.6657, 0.6661, 0.5000)
Zr (0.1007, 0.5200, 0.5000)
Zr (0.8516, 0.7181, 0.0000)
Zr (0.9507, 0.2435, 0.5000)
Zr (0.5752, 0.1446, 0.0000)
Mg (0.7129, 0.4294, 0.0000)

Summary:
The offset from the most stable computed form comes out at 0.00 eV per formula unit. The value obtained for the total energy is -77.4 eV for the cell shown. Its magnetic moment is 0.00 μB/atom.


7.
MgZr | PBE | optimized geometry

Cell lengths 11.1718, 3.1520, 5.2064 Å; angles 90.00, 90.00, 90.00 degrees
Sites, in units of the cell vectors:
Zr (0.2609, 0.5000, 0.0000)
Mg (0.9096, 0.5000, 0.5000)
Zr (0.4124, 0.5000, 0.5000)
Zr (0.5040, 0.0000, 0.0000)
Mg (0.0073, 0.0000, 0.0000)
Mg (0.1611, 0.0000, 0.5000)
Mg (0.7558, 0.5000, 0.0000)
Zr (0.6558, 0.0000, 0.5000)

Summary:
The value obtained for the total energy is -40.3 eV for the cell shown. Its magnetic moment is 0.00 μB/atom.


8.
MgZr | PBE | optimized geometry

Cell lengths 5.3888, 8.7086, 5.0466 Å; angles 90.00, 90.00, 71.98 degrees
Sites, in units of the cell vectors:
Mg (0.2558, 0.8010, 0.5000)
Zr (0.0068, 0.9992, 0.0000)
Zr (0.4060, 0.2008, 0.0000)
Zr (0.0462, 0.2014, 0.5000)
Mg (0.4568, 0.3990, 0.5000)
Zr (0.8572, 0.6000, 0.5000)
Mg (0.6166, 0.8013, 0.0000)
Zr (0.6477, 0.9986, 0.5000)
Mg (0.8179, 0.3987, 0.0000)
Mg (0.2222, 0.6000, 0.0000)

Summary:
The value obtained for the total energy is -49.8 eV for the cell shown. Its magnetic moment is 0.00 μB/atom.


9.
MgZr | PBE | optimized geometry

Cell lengths 5.4658, 9.6431, 5.1075 Å; angles 90.00, 90.00, 90.00 degrees
Sites, in units of the cell vectors:
Zr (0.9796, 0.0030, 0.0000)
Mg (0.8362, 0.1760, 0.5000)
Zr (0.8229, 0.8372, 0.5000)
Zr (0.5234, 0.4866, 0.0000)
Zr (0.3229, 0.9961, 0.5000)
Mg (0.8427, 0.5038, 0.5000)
Mg (0.3363, 0.6573, 0.5000)
Mg (0.9951, 0.6653, 0.0000)
Zr (0.4796, 0.8303, 0.0000)
Mg (0.3427, 0.3295, 0.5000)
Zr (0.0234, 0.3467, 0.0000)
Mg (0.4951, 0.1680, 0.0000)

Summary:
The value obtained for the total energy is -59.4 eV for the cell shown. Its magnetic moment is 0.01 μB/atom.


10.
MgZr | PBE | optimized geometry

Cell lengths 5.5962, 8.3829, 5.1142 Å; angles 90.00, 90.00, 70.51 degrees
Sites, in units of the cell vectors:
Mg (0.8735, 0.6000, 0.5000)
Zr (0.7931, 0.4107, 0.0000)
Zr (0.1950, 0.6001, 0.0000)
Zr (0.4620, 0.4093, 0.5000)
Mg (0.0701, 0.2022, 0.5000)
Zr (0.2714, 0.7908, 0.5000)
Mg (0.9953, 0.0013, 0.0000)
Mg (0.6724, 0.9978, 0.5000)
Zr (0.6037, 0.7894, 0.0000)
Mg (0.3966, 0.1986, 0.0000)

Summary:
The value obtained for the total energy is -49.7 eV for the cell shown. Its magnetic moment is 0.00 μB/atom.


11.
Mg2Zr | PBE | optimized geometry

Cell lengths 5.6568, 9.3031, 5.1409 Å; angles 90.00, 90.00, 90.00 degrees
Sites, in units of the cell vectors:
Mg (0.0214, 0.3381, 0.0000)
Zr (0.0492, 0.0000, 0.0000)
Mg (0.8120, 0.1619, 0.5000)
Zr (0.2842, 0.0000, 0.5000)
Mg (0.8120, 0.8381, 0.5000)
Mg (0.3120, 0.3381, 0.5000)
Mg (0.5213, 0.8381, 0.0000)
Mg (0.3120, 0.6619, 0.5000)
Mg (0.5213, 0.1619, 0.0000)
Zr (0.7841, 0.5000, 0.5000)
Zr (0.5491, 0.5000, 0.0000)
Mg (0.0214, 0.6619, 0.0000)

Summary:
The value obtained for the total energy is -44.4 eV for the cell shown. Its magnetic moment is 0.00 μB/atom.


12.
MgZr | PBE | optimized geometry

Cell lengths 5.5326, 12.8239, 5.0954 Å; angles 90.00, 90.00, 90.00 degrees
Sites, in units of the cell vectors:
Zr (0.3170, 0.0035, 0.5000)
Mg (0.3405, 0.7500, 0.5000)
Zr (0.4948, 0.6154, 0.0000)
Zr (0.0163, 0.5036, 0.0000)
Zr (0.3170, 0.4965, 0.5000)
Zr (0.0163, 0.9964, 0.0000)
Zr (0.4948, 0.8846, 0.0000)
Mg (0.5076, 0.3760, 0.0000)
Mg (0.9981, 0.7500, 0.0000)
Mg (0.8257, 0.8760, 0.5000)
Mg (0.3353, 0.2500, 0.5000)
Mg (0.9927, 0.2500, 0.0000)
Zr (0.8385, 0.3847, 0.5000)
Mg (0.5076, 0.1240, 0.0000)
Mg (0.8257, 0.6240, 0.5000)
Zr (0.8385, 0.1153, 0.5000)

Summary:
The value obtained for the total energy is -79.2 eV for the cell shown. Its magnetic moment is 0.00 μB/atom.